Entry 1:
LiHg2Br6 | PBE | relaxed

Calculated values
Relative energy among the computed polymorphs   84 meV per atom
Magnetic moment   0.807 μB/cell
E   -16.717 eV for the cell shown
Raw formation energy   -0.462 eV/atom

Lattice parameters (Å, degrees): 7.8983 7.8983 7.6739 90.00 90.00 120.00
Closest atoms and distances in Å follow each position.
Space group P-3m1 (No. 164)
Inequivalent atoms, fractional coordinates:
Li (0.0000, 0.0000, 0.0000) (multiplicity 1)  6 Br 2.75
Hg (0.3333, 0.6667, 0.7813) (multiplicity 2)  3 Br 2.57
Br (0.1463, 0.2925, 0.7549) (multiplicity 6)  1 Hg 2.57, 1 Li 2.75

---

Entry 2:
LiHg2Br | PBE | relaxed

Calculated values
Relative energy among the computed polymorphs   0 meV per atom
Magnetic moment   0.000 μB/cell
E   -6.941 eV for the cell shown
Raw formation energy   -0.688 eV/atom

Lattice parameters (Å, degrees): 3.6793 3.6793 9.4405 90.00 90.00 90.00
Closest atoms and distances in Å follow each position.
Space group P4mm (No. 99)
Inequivalent atoms, fractional coordinates:
Li (0.0000, 0.0000, 0.0000) (multiplicity 1)  4 Br 2.61
Hg (0.0000, 0.0000, 0.3305) (multiplicity 1)  1 Li 3.12, 4 Hg 3.48
Hg (0.5000, 0.5000, 0.5760) (multiplicity 1)  8 Hg 3.48-3.68, 1 Br 3.85
Br (0.5000, 0.5000, 0.9837) (multiplicity 1)  4 Li 2.61

---

Entry 3:
LiHg2Br | PBE | relaxed

Calculated values
Relative energy among the computed polymorphs   330 meV per atom
Magnetic moment   0.000 μB/cell
E   -5.621 eV for the cell shown
Raw formation energy   -0.358 eV/atom

Lattice parameters (Å, degrees): 3.6322 3.6322 7.7418 90.00 90.00 90.00
Closest atoms and distances in Å follow each position.
Space group P4/mmm (No. 123)
Inequivalent atoms, fractional coordinates:
Li (0.0000, 0.0000, 0.0000) (multiplicity 1)  8 Hg 3.15
Hg (0.5000, 0.5000, 0.2363) (multiplicity 2)  4 Li 3.15, 4 Br 3.28
Br (0.0000, 0.0000, 0.5000) (multiplicity 1)  8 Hg 3.28, 4 Br 3.63

---

Entry 4:
LiHgBr | PBE | relaxed

Calculated values
Relative energy among the computed polymorphs   3 meV per atom
Magnetic moment   0.000 μB/cell
E   -26.655 eV for the cell shown
Raw formation energy   -0.925 eV/atom

Lattice parameters (Å, degrees): 6.5550 7.3759 7.3753 90.00 90.00 90.00
Closest atoms and distances in Å follow each position.
Space group Aem2 (No. 39)
Inequivalent atoms, fractional coordinates:
Li (0.0033, 0.2500, 0.0000) (multiplicity 4)  4 Br 2.60-2.61
Hg (0.4995, 0.2500, 0.0161) (multiplicity 4)  2 Li 3.25-3.30
Br (0.0000, 0.0000, 0.2510) (multiplicity 4)  4 Li 2.60-2.61

---

Entry 5:
Li2HgBr4 | PBE | relaxed

Calculated values
Magnetic moment   0.000 μB/cell
E   -18.258 eV for the cell shown
Raw formation energy   -1.062 eV/atom

Lattice parameters (Å, degrees): 6.0175 6.0175 5.8814 90.00 90.00 90.00
Closest atoms and distances in Å follow each position.
Space group P-42m (No. 111)
Inequivalent atoms, fractional coordinates:
Li (0.0000, 0.5000, 0.0000) (multiplicity 2)  4 Br 2.56
Hg (0.0000, 0.0000, 0.5000) (multiplicity 1)  4 Br 2.69
Br (0.2604, 0.2604, 0.7584) (multiplicity 4)  2 Li 2.56, 1 Hg 2.69

---

Entry 6:
LiHg2Br | PBE | relaxed

Calculated values
Relative energy among the computed polymorphs   120 meV per atom
Magnetic moment   0.000 μB/cell
E   -6.460 eV for the cell shown
Raw formation energy   -0.567 eV/atom

Lattice parameters (Å, degrees): 4.0376 4.1334 6.7376 90.00 90.00 90.00
Closest atoms and distances in Å follow each position.
Space group Pmmm (No. 47)
Inequivalent atoms, fractional coordinates:
Li (0.0000, 0.0000, 0.0000) (multiplicity 1)  4 Br 2.89
Hg (0.0000, 0.5000, 0.5000) (multiplicity 1)  4 Hg 2.89
Hg (0.5000, 0.0000, 0.5000) (multiplicity 1)  4 Hg 2.89
Br (0.5000, 0.5000, 0.0000) (multiplicity 1)  4 Li 2.89

---

Entry 7:
LiHg2Br | PBE | relaxed

Calculated values
Relative energy among the computed polymorphs   325 meV per atom
Magnetic moment   0.000 μB/cell
E   -11.281 eV for the cell shown
Raw formation energy   -0.363 eV/atom

Lattice parameters (Å, degrees): 4.0604 6.2633 8.4935 90.00 90.00 90.00
Closest atoms and distances in Å follow each position.
Space group Cmmm (No. 65)
Inequivalent atoms, fractional coordinates:
Li (0.0000, 0.0000, 0.0000) (multiplicity 2)  4 Hg 2.85
Hg (0.0000, 0.5000, 0.2360) (multiplicity 4)  2 Li 2.85, 2 Br 3.03
Br (0.0000, 0.0000, 0.5000) (multiplicity 2)  4 Hg 3.03

---

Entry 8:
LiHgBr | PBE | relaxed

Calculated values
Relative energy among the computed polymorphs   0 meV per atom
Magnetic moment   0.000 μB/cell
E   -6.674 eV for the cell shown
Raw formation energy   -0.928 eV/atom

Lattice parameters (Å, degrees): 4.1585 4.1585 6.6089 90.00 90.00 120.00
Closest atoms and distances in Å follow each position.
Space group P3m1 (No. 156)
Inequivalent atoms, fractional coordinates:
Li (0.0000, 0.0000, 0.0000) (multiplicity 1)  3 Br 2.45
Hg (0.3333, 0.6667, 0.5657) (multiplicity 1)  3 Li 3.74, 6 Br 4.03-4.13, 6 Hg 4.16
Br (0.6667, 0.3333, 0.0751) (multiplicity 1)  3 Li 2.45

---

- Which of these has the highest magnetic moment?
  LiHg2Br6